[1]
## Pr2TlC (PBE)

Data for crystalline Pr2TlC at its relaxed geometry.

The space group is R-3m (No. 166, hexagonal axes) and the conventional cell measures 3.7003, 3.7003 and 28.9148 Å, with angles of 90.00, 90.00 and 120.00 degrees. The distinct sites, in fractional coordinates, are Pr at (0.0000, 0.0000, 0.1176), Tl at (0.0000, 0.0000, 0.0000) and C at (0.0000, 0.0000, 0.5000).

As for the energy of formation: -64 meV/atom.

---

[2]
## MgGe2Pd4 (PBE)

Data for crystalline MgGe2Pd4 at its relaxed geometry.

The space group is Cmcm (No. 63) and the conventional cell measures 4.228, 13.661 and 8.122 Å, with angles of 90.00, 90.00 and 90.00 degrees. The distinct sites, in fractional coordinates, are Mg at (0.000, 0.166, 0.250), Ge at (0.000, 0.384, 0.034), Pd at (0.000, 0.000, 0.000), Pd at (0.000, 0.207, 0.583) and Pd at (0.000, 0.473, 0.750).

The polymorph energy (0 for the lowest one) comes out at 47 kJ/mol of formula units. As for the energy of formation: -469 meV/atom.

---

[3]
## TlSnAu (PBE)

Data for crystalline TlSnAu at its relaxed geometry.

The space group is P6_3/mmc (No. 194) and the conventional cell measures 4.7289, 4.7289 and 11.8087 Å, with angles of 90.00, 90.00 and 120.00 degrees. The distinct sites, in fractional coordinates, are Tl at (0.0000, 0.0000, 0.2500), Sn at (0.0000, 0.0000, 0.0000) and Au at (0.3333, 0.6667, 0.2500).

As for the energy of formation: 634 meV/atom.

---

[4]
## K2PbAu (PBE)

Data for crystalline K2PbAu at its relaxed geometry.

The space group is P4/mmm (No. 123) and the conventional cell measures 4.817, 4.817 and 5.480 Å, with angles of 90.00, 90.00 and 90.00 degrees. The distinct sites, in fractional coordinates, are K at (0.000, 0.500, 0.000), Pb at (0.000, 0.000, 0.500) and Au at (0.500, 0.500, 0.500).

As for the energy of formation: -46 meV/atom.

---

[5]
## Tb5Pr12Ho2 (PBE)

Data for crystalline Tb5Pr12Ho2 at its relaxed geometry.

The space group is C2/m (No. 12) and the conventional cell measures 19.383, 7.609 and 10.101 Å, with angles of 90.00, 116.90 and 90.00 degrees. The distinct sites, in fractional coordinates, are Tb at (0.000, 0.000, 0.000), Tb at (0.175, 0.000, 0.671), Tb at (0.179, 0.500, 0.694), Pr at (0.004, 0.000, 0.709), Pr at (0.009, 0.500, 0.830), Pr at (0.160, 0.249, 0.348), Pr at (0.165, 0.238, 0.997) and Ho at (0.000, 0.300, 0.500).

The polymorph energy (0 for the lowest one) comes out at 73 kJ/mol of formula units. As for the energy of formation: 165 meV/atom.

---

[6]
## Ca2NdTl4 (PBE)

Data for crystalline Ca2NdTl4 at its relaxed geometry.

The space group is I4/mmm (No. 139) and the conventional cell measures 7.641, 7.641 and 7.697 Å, with angles of 90.00, 90.00 and 90.00 degrees. The distinct sites, in fractional coordinates, are Ca at (0.000, 0.500, 0.000), Nd at (0.000, 0.000, 0.000) and Tl at (0.250, 0.250, 0.250).

As for the energy of formation: -300 meV/atom.

---

[7]
## LiMnV2 (PBE)

Data for crystalline LiMnV2 at its relaxed geometry.

The space group is I-42d (No. 122) and the conventional cell measures 6.432, 6.432 and 5.054 Å, with angles of 90.00, 90.00 and 90.00 degrees. The distinct sites, in fractional coordinates, are Li at (0.000, 0.000, 0.000), Mn at (0.000, 0.000, 0.500) and V at (0.228, 0.750, 0.625).

The polymorph energy (0 for the lowest one) comes out at 146 kJ/mol of formula units. As for the energy of formation: 582 meV/atom.

---

[8]
## NaSiP2Ir4 (PBE)

Data for crystalline NaSiP2Ir4 at its relaxed geometry.

The space group is P4/mmm (No. 123) and the conventional cell measures 4.028, 4.028 and 7.619 Å, with angles of 90.00, 90.00 and 90.00 degrees. The distinct sites, in fractional coordinates, are Na at (0.000, 0.000, 0.000), Si at (0.000, 0.000, 0.500), P at (0.500, 0.500, 0.156) and Ir at (0.000, 0.500, 0.307).

The calculation puts the uncorrected formation energy at -0.59 eV/atom.

---

[9]
## RhN2Cl (PBE)

Data for crystalline RhN2Cl at its relaxed geometry.

The space group is I-42d (No. 122) and the conventional cell measures 5.568, 5.568 and 8.356 Å, with angles of 90.00, 90.00 and 90.00 degrees. The distinct sites, in fractional coordinates, are Rh at (0.000, 0.000, 0.000), N at (0.123, 0.250, 0.125) and Cl at (0.000, 0.000, 0.500).

The polymorph energy (0 for the lowest one) comes out at 88 kJ/mol of formula units. The calculation puts the uncorrected formation energy at 1.14 eV/atom.

---

[10]
## ZrTlSe4 (PBE)

Data for crystalline ZrTlSe4 at its relaxed geometry.

The space group is F-43m (No. 216) and the conventional cell measures 8.208, 8.208 and 8.208 Å, with angles of 90.00, 90.00 and 90.00 degrees. The distinct sites, in fractional coordinates, are Zr at (0.000, 0.000, 0.000), Tl at (0.250, 0.250, 0.250) and Se at (0.126, 0.126, 0.626).

The polymorph energy (0 for the lowest one) comes out at 582 kJ/mol of formula units. The calculation puts the uncorrected formation energy at 0.33 eV/atom.

---

[11]
## CsAg2Cl3 (PBE)

Data for crystalline CsAg2Cl3 at its relaxed geometry.

The space group is Cmcm (No. 63) and the conventional cell measures 9.926, 13.622 and 5.818 Å, with angles of 90.00, 90.00 and 90.00 degrees. The distinct sites, in fractional coordinates, are Cs at (0.000, 0.219, 0.250), Ag at (0.192, 0.500, 0.000), Cl at (0.000, 0.398, 0.750) and Cl at (0.204, 0.133, 0.750).

The calculation puts the uncorrected formation energy at -0.96 eV/atom.

---

[12]
## PuInSbAu (PBE)

Data for crystalline PuInSbAu at its relaxed geometry.

The space group is Pmmm (No. 47) and the conventional cell measures 4.266, 4.477 and 5.037 Å, with angles of 90.00, 90.00 and 90.00 degrees. The distinct sites, in fractional coordinates, are Pu at (0.000, 0.000, 0.000), In at (0.000, 0.500, 0.500), Sb at (0.500, 0.500, 0.000) and Au at (0.500, 0.000, 0.500).

The polymorph energy (0 for the lowest one) comes out at 0 kJ/mol of formula units. The calculation puts the uncorrected formation energy at -0.40 eV/atom.